Entry 1:
Compound: Ho4Al3Au
Source: Alexandria
Functional: PBE
Structure: relaxed

Lattice parameters (Å, degrees): 3.5812 3.5812 14.4020 90.00 90.00 90.00
Positions (direct):
Ho 0.0000 0.0000 0.1239
Ho 0.0000 0.0000 0.3764
Ho 0.0000 0.0000 0.6236
Ho 0.0000 0.0000 0.8761
Al 0.5000 0.5000 0.0000
Al 0.5000 0.5000 0.2479
Al 0.5000 0.5000 0.7521
Au 0.5000 0.5000 0.5000

Computed properties:
energy = -36.8 eV per cell
calculated volume = 23.09 A^3/atom
N(E_F) = 0.596 states/eV per atom



Entry 2:
Compound: K3Nd2US6
Source: Alexandria
Functional: PBE
Structure: relaxed

Lattice parameters (Å, degrees): 7.2012 7.2012 7.7757 98.88 98.88 120.01
Positions (direct):
K 0.0000 0.0000 0.0000
K 0.3315 0.6685 0.0000
K 0.6685 0.3315 0.0000
Nd 0.1665 0.8335 0.5000
Nd 0.8335 0.1665 0.5000
U 0.5000 0.5000 0.5000
S 0.1062 0.4312 0.2934
S 0.2442 0.2442 0.7066
S 0.4312 0.1062 0.2934
S 0.5688 0.8938 0.7066
S 0.7558 0.7558 0.2934
S 0.8938 0.5688 0.7066

Computed properties:
formation energy without anion corrections = -1.68 eV per atom
calculated volume = 27.68 A^3/atom
N(E_F) = 0.861 states/eV per atom



Entry 3:
Compound: BaScSb2I
Source: Alexandria
Functional: PBE
Structure: relaxed

Lattice parameters (Å, degrees): 5.4842 5.4842 6.1201 90.00 90.00 90.00
Positions (direct):
Ba 0.0000 0.0000 0.0000
Sc 0.5000 0.5000 0.5000
Sb 0.0000 0.5000 0.5000
Sb 0.5000 0.0000 0.5000
I 0.5000 0.5000 0.0000

Computed properties:
energy above the most stable polymorph in this dataset = 0.000 eV per atom
formation energy without anion corrections = -0.79 eV per atom
calculated volume = 36.81 A^3/atom
N(E_F) = 0.501 states/eV per atom